Density functional theory data (meta-GGA SCAN) for KSc2Mn at its PBEsol-relaxed geometry.

a = 3.3110 Å, b = 3.3110 Å, c = 31.1751 Å
α = 90.00°, β = 90.00°, γ = 120.00°
Space group R-3m (No. 166, hexagonal axes)
Asymmetric unit:
K 0.0000 0.0000 0.0000
Sc 0.0000 0.0000 0.2208
Mn 0.0000 0.0000 0.5000

* magnetization: 0.00 Bohr magnetons per cell
* Fermi-level density of states: 12.516 states/eV per cell
* E_form: 200 kJ/mol of formula units
* polymorph energy (0 for the lowest one): 0.145 eV per atom

***

Density functional theory data (meta-GGA SCAN) for KSc2Mn at its PBEsol-relaxed geometry.

a = 3.5557 Å, b = 3.5557 Å, c = 8.6576 Å
α = 90.00°, β = 90.00°, γ = 90.00°
Space group P4mm (No. 99)
Asymmetric unit:
K 0.0000 0.0000 0.0000
Sc 0.0000 0.0000 0.4083
Sc 0.5000 0.5000 0.6258
Mn 0.5000 0.5000 0.3185

* magnetization: 2.35 Bohr magnetons per cell
* Fermi-level density of states: 4.409 states/eV per cell
* E_form: 144 kJ/mol of formula units
* polymorph energy (0 for the lowest one): 0.000 eV per atom

***

Density functional theory data (meta-GGA SCAN) for KMnSe2 at its PBEsol-relaxed geometry.

a = 3.5614 Å, b = 3.5614 Å, c = 8.1464 Å
α = 90.00°, β = 90.00°, γ = 90.00°
Space group P4mm (No. 99)
Asymmetric unit:
K 0.0000 0.0000 0.0000
Mn 0.5000 0.5000 0.4802
Se 0.0000 0.0000 0.3938
Se 0.5000 0.5000 0.7676

* formation energy (no corrections): -0.7831 eV/atom
* magnetization: 4.07 Bohr magnetons per cell
* Fermi-level density of states: 1.502 states/eV per cell

***

Density functional theory data (meta-GGA SCAN) for K2MnSe at its PBEsol-relaxed geometry.

a = 3.6708 Å, b = 3.6708 Å, c = 9.9379 Å
α = 90.00°, β = 90.00°, γ = 90.00°
Space group P4mm (No. 99)
Asymmetric unit:
K 0.0000 0.0000 0.0000
K 0.5000 0.5000 0.3974
Mn 0.5000 0.5000 0.7171
Se 0.0000 0.0000 0.6711

* formation energy (no corrections): -0.3284 eV/atom
* magnetization: 4.16 Bohr magnetons per cell
* Fermi-level density of states: 1.368 states/eV per cell

***

Density functional theory data (meta-GGA SCAN) for KMn2Se at its PBEsol-relaxed geometry.

a = 3.2736 Å, b = 3.2736 Å, c = 8.2907 Å
α = 90.00°, β = 90.00°, γ = 90.00°
Space group P4/mmm (No. 123)
Asymmetric unit:
K 0.0000 0.0000 0.0000
Mn 0.5000 0.5000 0.3468
Se 0.0000 0.0000 0.5000

* formation energy (no corrections): 0.2040 eV/atom
* magnetization: 8.27 Bohr magnetons per cell
* Fermi-level density of states: 2.459 states/eV per cell

***

Density functional theory data (meta-GGA SCAN) for KMnSe2 at its PBEsol-relaxed geometry.

a = 4.3167 Å, b = 3.5087 Å, c = 7.0998 Å
α = 90.00°, β = 98.19°, γ = 90.00°
Space group P2/m (No. 10)
Asymmetric unit:
K 0.0000 0.0000 0.0000
Mn 0.5000 0.0000 0.5000
Se 0.4294 0.5000 0.7245

* formation energy (no corrections): -1.0217 eV/atom
* magnetization: 3.99 Bohr magnetons per cell

***

Density functional theory data (meta-GGA SCAN) for KMn2Se at its PBEsol-relaxed geometry.

a = 5.8414 Å, b = 10.7691 Å, c = 2.8012 Å
α = 90.00°, β = 90.00°, γ = 90.00°
Space group Cmmm (No. 65)
Asymmetric unit:
K 0.0000 0.0000 0.0000
Mn 0.2500 0.2500 0.5000
Se 0.0000 0.5000 0.0000

* formation energy (no corrections): 0.3581 eV/atom
* magnetization: 18.56 Bohr magnetons per cell
* Fermi-level density of states: 3.215 states/eV per cell

***

Density functional theory data (meta-GGA SCAN) for K6MnSe4 at its PBEsol-relaxed geometry.

a = 10.1355 Å, b = 10.1355 Å, c = 7.8581 Å
α = 90.00°, β = 90.00°, γ = 120.00°
Space group P6_3mc (No. 186)
Asymmetric unit:
K 0.0554 0.5277 0.0000
K 0.1467 0.2934 0.3217
Mn 0.3333 0.6667 0.6156
Se 0.1959 0.3917 0.7154
Se 0.3333 0.6667 0.2932

* formation energy (no corrections): -1.3051 eV/atom
* magnetization: 10.00 Bohr magnetons per cell
* Fermi-level density of states: 0.000 states/eV per cell

***

Density functional theory data (meta-GGA SCAN) for K2MnSn2Se6 at its PBEsol-relaxed geometry.

a = 8.1341 Å, b = 8.1341 Å, c = 19.4606 Å
α = 90.00°, β = 90.00°, γ = 90.00°
Space group P4/ncc (No. 130, origin choice 2)
Asymmetric unit:
K 0.2500 0.2500 0.0263
K 0.2500 0.2500 0.3220
Mn 0.2500 0.7500 0.0000
Sn 0.2500 0.7500 0.1610
Se 0.0648 0.5904 0.0812
Se 0.0824 0.5824 0.7500

* formation energy (no corrections): -0.8522 eV/atom
* magnetization: 20.00 Bohr magnetons per cell

***

Density functional theory data (meta-GGA SCAN) for KMnZnSe3 at its PBEsol-relaxed geometry.

a = 3.8055 Å, b = 14.4590 Å, c = 10.1800 Å
α = 90.00°, β = 90.00°, γ = 90.00°
Space group Cmcm (No. 63)
Asymmetric unit:
K 0.0000 0.2495 0.2500
Mn 0.0000 0.5000 0.0000
Zn 0.0000 0.0384 0.7500
Se 0.0000 0.1172 0.5410
Se 0.0000 0.4351 0.7500

* formation energy (no corrections): -0.9458 eV/atom
* magnetization: 16.00 Bohr magnetons per cell
* Fermi-level density of states: 7.433 states/eV per cell

***

Density functional theory data (meta-GGA SCAN) for KMn2Si at its PBEsol-relaxed geometry.

a = 2.8019 Å, b = 4.7125 Å, c = 5.2362 Å
α = 90.00°, β = 90.00°, γ = 90.00°
Space group Pmmm (No. 47)
Asymmetric unit:
K 0.0000 0.0000 0.0000
Mn 0.0000 0.5000 0.5000
Mn 0.5000 0.5000 0.0000
Si 0.5000 0.0000 0.5000

* formation energy (no corrections): 0.7821 eV/atom
* magnetization: 7.92 Bohr magnetons per cell
* Fermi-level density of states: 2.656 states/eV per cell
* polymorph energy (0 for the lowest one): 0.453 eV per atom

***

Density functional theory data (meta-GGA SCAN) for KMn2Si at its PBEsol-relaxed geometry.

a = 2.6818 Å, b = 2.6818 Å, c = 28.4189 Å
α = 90.00°, β = 90.00°, γ = 120.00°
Space group R-3m (No. 166, hexagonal axes)
Asymmetric unit:
K 0.0000 0.0000 0.0000
Mn 0.0000 0.0000 0.2319
Si 0.0000 0.0000 0.5000

* formation energy (no corrections): 0.6843 eV/atom
* magnetization: 19.02 Bohr magnetons per cell
* Fermi-level density of states: 13.343 states/eV per cell
* polymorph energy (0 for the lowest one): 0.355 eV per atom

***

Density functional theory data (meta-GGA SCAN) for K4MnSi at its PBEsol-relaxed geometry.

a = 9.5190 Å, b = 9.5190 Å, c = 9.5190 Å
α = 90.00°, β = 90.00°, γ = 90.00°
Space group F-43m (No. 216)
Asymmetric unit:
K 0.1238 0.1238 0.3762
Mn 0.0000 0.0000 0.0000
Si 0.2500 0.2500 0.7500

* formation energy (no corrections): 0.7997 eV/atom
* magnetization: 21.05 Bohr magnetons per cell
* Fermi-level density of states: 17.470 states/eV per cell

***

Density functional theory data (meta-GGA SCAN) for KMn2Si at its PBEsol-relaxed geometry.

a = 2.9605 Å, b = 2.9605 Å, c = 8.2115 Å
α = 90.00°, β = 90.00°, γ = 90.00°
Space group P4/mmm (No. 123)
Asymmetric unit:
K 0.0000 0.0000 0.0000
Mn 0.5000 0.5000 0.3460
Si 0.0000 0.0000 0.5000

* formation energy (no corrections): 0.3296 eV/atom
* magnetization: 6.62 Bohr magnetons per cell
* Fermi-level density of states: 4.089 states/eV per cell
* polymorph energy (0 for the lowest one): 0.000 eV per atom